Here is a crystal of Na3EuTi2Nb2O12 relaxed with PBEsol from Alexandria via LeMat-Bulk. Energies are from meta-GGA SCAN.

## Properties
Fermi-level density of states = 1.220 states/eV/cell
raw formation energy = -66.266 kcal/mol of atoms
VASP energy = -296.9 eV per cell

Structure (CIF):
```
data_Na3EuTi2Nb2O12
_chemical_formula_sum 'Na3 Eu1 Ti2 Nb2 O12'
_cell_length_a 5.4427
_cell_length_b 5.5040
_cell_length_c 7.7481
_cell_angle_alpha 90.00
_cell_angle_beta 89.94
_cell_angle_gamma 89.78
_symmetry_space_group_name_H-M 'P 1'
_symmetry_Int_Tables_number 1
_symmetry_space_group_name_Hall 'P 1'
loop_
_atom_site_label
_atom_site_type_symbol
_atom_site_fract_x
_atom_site_fract_y
_atom_site_fract_z
_atom_site_occupancy
Nb1 Nb 0.5000 0.9920 0.5094 1
Nb2 Nb 0.0078 0.4852 0.9892 1
O1 O 0.2015 0.8064 0.9856 1
O2 O 0.2882 0.3009 0.5358 1
O3 O 0.4218 0.0337 0.2475 1
O4 O 0.0658 0.5132 0.2520 1
O5 O 0.5561 0.9753 0.7541 1
O6 O 0.7143 0.7293 0.0487 1
O7 O 0.2946 0.2950 0.9612 1
O8 O 0.7176 0.7259 0.4506 1
O9 O 0.1964 0.8025 0.5156 1
O10 O 0.9309 0.5086 0.7458 1
O11 O 0.7921 0.2090 0.0378 1
O12 O 0.7959 0.2141 0.4624 1
Na1 Na 0.5093 0.4657 0.2501 1
Na2 Na 0.5049 0.5144 0.7486 1
Na3 Na 0.9979 0.0028 0.7511 1
Ti1 Ti 0.0104 0.4850 0.4979 1
Ti2 Ti 0.4984 0.9853 0.0062 1
Eu1 Eu 0.9962 0.9557 0.2505 1
```